VASP calculation (PBE+U) on a relaxed PuMn2TlO8 crystal.

Calculated values
For the total energy, the calculation gives -0.5387 Ry per atom.

a b c (Å): 5.7579 5.7579 7.8038
angles (deg): 90.00 90.00 120.00
Last column: nearest neighbours and their distance in Å.
Fractional positions:
Pu 0.0000 0.0000 0.0000  6 O 2.09
Tl 0.0000 0.0000 0.5000  12 O 3.11-3.35
O 0.1660 0.8340 0.8376  1 Mn 1.78
O 0.3333 0.6667 0.5493  1 Mn 1.64
O 0.8340 0.6679 0.1624  1 Mn 1.78
O 0.6679 0.8340 0.8376  1 Mn 1.78
O 0.1660 0.3321 0.8376  1 Mn 1.78
O 0.6667 0.3333 0.4507  1 Mn 1.64
O 0.3321 0.1660 0.1624  1 Mn 1.78
O 0.8340 0.1660 0.1624  1 Mn 1.78
Mn 0.3333 0.6667 0.7593  4 O 1.64-1.78
Mn 0.6667 0.3333 0.2407  4 O 1.64-1.78